1.
# MoAsAu2, optimized geometry, DFT PBE
data_MoAsAu2
_chemical_formula_sum 'Mo1 As1 Au2'
_cell_length_a 3.2340
_cell_length_b 3.2340
_cell_length_c 6.6176
_cell_angle_alpha 90.00
_cell_angle_beta 90.00
_cell_angle_gamma 90.00
_symmetry_space_group_name_H-M 'P 4 m m'
_symmetry_Int_Tables_number 99
_symmetry_space_group_name_Hall 'P 4 -2'
loop_
_atom_site_label
_atom_site_type_symbol
_atom_site_fract_x
_atom_site_fract_y
_atom_site_fract_z
Mo1 Mo 0.0000 0.0000 0.0000
As1 As 0.5000 0.5000 0.1843
Au1 Au 0.0000 0.0000 0.4658
Au2 Au 0.5000 0.5000 0.7305
# ΔH_f (0 K)   125 meV/atom
# D(E_F)   0.53 states/eV per atom

---

2.
# CsBaSb3, optimized geometry, DFT PBE
data_CsBaSb3
_chemical_formula_sum 'Cs1 Ba1 Sb3'
_cell_length_a 6.4219
_cell_length_b 6.4219
_cell_length_c 6.4219
_cell_angle_alpha 90.00
_cell_angle_beta 90.00
_cell_angle_gamma 90.00
_symmetry_space_group_name_H-M 'P m -3 m'
_symmetry_Int_Tables_number 221
_symmetry_space_group_name_Hall '-P 4 2 3'
loop_
_atom_site_label
_atom_site_type_symbol
_atom_site_fract_x
_atom_site_fract_y
_atom_site_fract_z
Cs1 Cs 0.0000 0.0000 0.0000
Ba1 Ba 0.5000 0.5000 0.5000
Sb1 Sb 0.0000 0.5000 0.5000
# Energy relative to the elements, uncorrected   272 meV/atom
# D(E_F)   0.82 states/eV per atom
# Energy relative to the lowest polymorph listed for this composition   0.00 kcal/mol of atoms

---

3.
# SiH, optimized geometry, DFT PBE
data_SiH
_chemical_formula_sum 'Si8 H8'
_cell_length_a 10.5440
_cell_length_b 3.8730
_cell_length_c 6.4051
_cell_angle_alpha 90.00
_cell_angle_beta 90.00
_cell_angle_gamma 90.00
_symmetry_space_group_name_H-M 'P n m a'
_symmetry_Int_Tables_number 62
_symmetry_space_group_name_Hall '-P 2ac 2n'
loop_
_atom_site_label
_atom_site_type_symbol
_atom_site_fract_x
_atom_site_fract_y
_atom_site_fract_z
Si1 Si 0.0242 0.2500 0.2096
Si2 Si 0.0957 0.2500 0.8544
H1 H 0.1076 0.2500 0.3996
H2 H 0.2319 0.2500 0.7865
# Energy relative to the lowest polymorph listed for this composition   3.00 kcal/mol of atoms

---

4.
# Pr2SmGa2, optimized geometry, DFT PBE
data_Pr2SmGa2
_chemical_formula_sum 'Pr4 Sm2 Ga4'
_cell_length_a 10.9427
_cell_length_b 4.7692
_cell_length_c 6.7770
_cell_angle_alpha 90.00
_cell_angle_beta 128.12
_cell_angle_gamma 90.00
_symmetry_space_group_name_H-M 'C 1 2/m 1'
_symmetry_Int_Tables_number 12
_symmetry_space_group_name_Hall '-C 2y'
loop_
_atom_site_label
_atom_site_type_symbol
_atom_site_fract_x
_atom_site_fract_y
_atom_site_fract_z
Pr1 Pr 0.1984 0.0000 0.1982
Sm1 Sm 0.0000 0.0000 0.5000
Ga1 Ga 0.0004 0.5000 0.2001
# ΔH_f (0 K)   -468 meV/atom
# D(E_F)   1.08 states/eV per atom

---

5.
# SrTb2Ce3Te6, optimized geometry, DFT PBE
data_SrTb2Ce3Te6
_chemical_formula_sum 'Sr2 Tb4 Ce6 Te12'
_cell_length_a 19.6434
_cell_length_b 4.4527
_cell_length_c 9.0557
_cell_angle_alpha 90.00
_cell_angle_beta 104.23
_cell_angle_gamma 90.00
_symmetry_space_group_name_H-M 'C 1 2/m 1'
_symmetry_Int_Tables_number 12
_symmetry_space_group_name_Hall '-C 2y'
loop_
_atom_site_label
_atom_site_type_symbol
_atom_site_fract_x
_atom_site_fract_y
_atom_site_fract_z
Sr1 Sr 0.0000 0.0000 0.0000
Tb1 Tb 0.1701 0.5000 0.3397
Ce1 Ce 0.0000 0.0000 0.5000
Ce2 Ce 0.1641 0.5000 0.8292
Te1 Te 0.0052 0.5000 0.2565
Te2 Te 0.1675 0.0000 0.5779
Te3 Te 0.1694 0.0000 0.0925
# Energy relative to the elements, uncorrected   -1388 meV/atom
# D(E_F)   1.92 states/eV per atom

---

6.
# CsNa2TeI, optimized geometry, DFT PBE
data_CsNa2TeI
_chemical_formula_sum 'Cs1 Na2 Te1 I1'
_cell_length_a 5.8358
_cell_length_b 5.8358
_cell_length_c 7.6181
_cell_angle_alpha 90.00
_cell_angle_beta 90.00
_cell_angle_gamma 90.00
_symmetry_space_group_name_H-M 'P 4/m m m'
_symmetry_Int_Tables_number 123
_symmetry_space_group_name_Hall '-P 4 2'
loop_
_atom_site_label
_atom_site_type_symbol
_atom_site_fract_x
_atom_site_fract_y
_atom_site_fract_z
Cs1 Cs 0.0000 0.0000 0.0000
Na1 Na 0.0000 0.5000 0.5000
Te1 Te 0.0000 0.0000 0.5000
I1 I 0.5000 0.5000 0.0000
# Energy relative to the elements, uncorrected   -1000 meV/atom
# D(E_F)   0.00 states/eV per atom
# Energy relative to the lowest polymorph listed for this composition   2.41 kcal/mol of atoms